# 1
An optimized crystal structure of HgPbO, computed with PBE-GGA.

Cell: 3.669 3.669 6.550 Å, 90.00 90.00 120.00°
Fractional positions:
Pb1 0.667 0.333 0.436
O1 0.333 0.667 0.583
Hg1 0.000 0.000 0.980

Properties
E_form (uncorrected): -1.718 eV per formula unit
VASP energy: -3.562 eV per atom
energy above the lowest structure with this stoichiometry: 0.1715 eV/atom
SG: P3m1

# 2
An optimized crystal structure of TeAsPtN2, computed with PBE-GGA.

Cell: 3.831 6.584 3.831 Å, 90.00 90.00 90.00°
Fractional positions:
N1 0.000 0.000 0.500
N2 0.500 0.000 0.000
As1 0.000 0.500 0.000
Pt1 0.500 0.500 0.500
Te1 0.000 0.000 0.000

Properties
E_form (uncorrected): 8.033 eV per formula unit
VASP energy: -4.490 eV per atom
energy above the lowest structure with this stoichiometry: 0.4150 eV/atom
SG: P4/mmm

# 3
An optimized crystal structure of AcAlHg2, computed with PBE-GGA.

Cell: 4.682 4.682 6.360 Å, 68.40 68.40 60.00°
Fractional positions:
Ac1 0.000 0.000 0.000
Hg1 0.779 0.779 0.663
Hg2 0.221 0.221 0.337
Al1 0.500 0.500 0.500

Properties
VASP energy: -2.459 eV per atom
SG: R-3m
energy relative to the elements: -1.38 eV/f.u.

# 4
An optimized crystal structure of RePtO2, computed with PBE-GGA.

Cell: 7.689 7.689 7.689 Å, 21.03 21.03 21.03°
Fractional positions:
O1 0.080 0.080 0.080
O2 0.920 0.920 0.920
Re1 0.000 0.000 0.000
Pt1 0.500 0.500 0.500

Properties
E_form (uncorrected): -0.352 eV per formula unit
VASP energy: -7.189 eV per atom
energy above the lowest structure with this stoichiometry: 0.5708 eV/atom
SG: R-3m

# 5
An optimized crystal structure of ThP2Ir4, computed with PBE-GGA.

Cell: 3.833 7.670 7.670 Å, 90.00 90.00 90.00°
Fractional positions:
Ir1 0.000 0.674 0.928
Ir2 0.500 0.428 0.826
Ir3 0.500 0.174 0.572
Ir4 0.500 0.826 0.428
Ir5 0.500 0.572 0.174
Ir6 0.000 0.072 0.326
Ir7 0.000 0.928 0.674
Ir8 0.000 0.326 0.072
Th1 0.000 0.500 0.500
Th2 0.500 0.000 0.000
P1 0.500 0.728 0.728
P2 0.000 0.228 0.772
P3 0.500 0.272 0.272
P4 0.000 0.772 0.228

Properties
VASP energy: -8.338 eV per atom
SG: P4_2/mnm
energy relative to the elements: -4.68 eV/f.u.

# 6
An optimized crystal structure of Ac3DyIn, computed with PBE-GGA.

Cell: 5.272 5.260 13.602 Å, 90.00 78.83 90.00°
Fractional positions:
Dy1 0.477 0.750 0.694
Dy2 0.171 0.250 0.306
In1 0.670 0.750 0.308
In2 0.978 0.250 0.692
Ac1 0.880 0.750 0.888
Ac2 0.768 0.250 0.112
Ac3 0.074 0.750 0.499
Ac4 0.265 0.750 0.118
Ac5 0.574 0.250 0.501
Ac6 0.383 0.250 0.882

Properties
VASP energy: -4.039 eV per atom
SG: Cmcm
energy relative to the elements: -0.53 eV/f.u.

Repeat the fifth record exactly.
An optimized crystal structure of ThP2Ir4, computed with PBE-GGA.

Cell: 3.833 7.670 7.670 Å, 90.00 90.00 90.00°
Fractional positions:
Ir1 0.000 0.674 0.928
Ir2 0.500 0.428 0.826
Ir3 0.500 0.174 0.572
Ir4 0.500 0.826 0.428
Ir5 0.500 0.572 0.174
Ir6 0.000 0.072 0.326
Ir7 0.000 0.928 0.674
Ir8 0.000 0.326 0.072
Th1 0.000 0.500 0.500
Th2 0.500 0.000 0.000
P1 0.500 0.728 0.728
P2 0.000 0.228 0.772
P3 0.500 0.272 0.272
P4 0.000 0.772 0.228

Properties
VASP energy: -8.338 eV per atom
SG: P4_2/mnm
energy relative to the elements: -4.68 eV/f.u.